Tb4AuC2 | PBE-GGA | optimized geometry

Cell: 6.4463 6.4463 12.9801 Å, 90.00 90.00 146.78°
With the nearest neighbours (Å) after each atom.
Element x y z (fractional)
Tb 0.0000 0.0000 0.0000  4 C 2.61
Tb 0.0000 0.0000 0.5000  4 C 2.61
Tb 0.2662 0.7338 0.6046  3 C 2.46-2.52
Tb 0.2662 0.7338 0.8954  3 C 2.46-2.52
Tb 0.4245 0.5755 0.2500  2 C 2.57
Tb 0.5755 0.4245 0.7500  2 C 2.57
Tb 0.7338 0.2662 0.1046  3 C 2.46-2.52
Tb 0.7338 0.2662 0.3954  3 C 2.46-2.52
Au 0.1109 0.8891 0.2500  6 Tb 2.95-3.04
Au 0.8891 0.1109 0.7500  6 Tb 2.95-3.04
C 0.3644 0.6356 0.0604  6 Tb 2.46-2.61
C 0.3644 0.6356 0.4396  6 Tb 2.46-2.61
C 0.6356 0.3644 0.5604  6 Tb 2.46-2.61
C 0.6356 0.3644 0.9396  6 Tb 2.46-2.61

E_tot ... -85.74 eV for the cell shown
Symmetry ... Cmcm
N(E_F) ... 0.89 states/eV/atom
Energy relative to the elements ... -0.375 eV per atom

BaNaH6Au2 | PBE-GGA | optimized geometry

Cell: 7.0454 7.0454 6.5991 Å, 102.90 102.90 103.67°
With the nearest neighbours (Å) after each atom.
Element x y z (fractional)
Ba 0.1400 0.8600 0.7500  10 H 2.81-2.94
Ba 0.8600 0.1400 0.2500  10 H 2.81-2.94
Na 0.3904 0.6096 0.2500  6 H 2.45-2.57
Na 0.6096 0.3904 0.7500  6 H 2.45-2.57
H 0.0617 0.5594 0.3541  1 Au 1.68
H 0.1635 0.2483 0.0199  1 Au 1.67
H 0.2483 0.1635 0.5199  1 Au 1.67
H 0.3514 0.5680 0.7661  1 H 0.80
H 0.4320 0.6486 0.7339  1 H 0.80
H 0.4406 0.9383 0.1459  1 Au 1.68
H 0.5594 0.0617 0.8541  1 Au 1.68
H 0.5680 0.3514 0.2661  1 H 0.80
H 0.6486 0.4320 0.2339  1 H 0.80
H 0.7517 0.8365 0.4801  1 Au 1.67
H 0.8365 0.7517 0.9801  1 Au 1.67
H 0.9383 0.4406 0.6459  1 Au 1.68
Au 0.0429 0.3370 0.8307  2 H 1.67-1.68
Au 0.3370 0.0429 0.3307  2 H 1.67-1.68
Au 0.6630 0.9571 0.6693  2 H 1.67-1.68
Au 0.9571 0.6630 0.1693  2 H 1.67-1.68

E_tot ... -64.69 eV for the cell shown
Symmetry ... C2/c
N(E_F) ... 0.23 states/eV/atom

MgMn2Cr2 | PBE-GGA | optimized geometry

Cell: 6.9484 6.9484 2.6418 Å, 90.00 90.00 90.00°
With the nearest neighbours (Å) after each atom.
Element x y z (fractional)
Mg 0.0000 0.0000 0.0000  2 Mg 2.64, 4 Mn 2.68, 8 Cr 2.95
Mg 0.5000 0.5000 0.0000  2 Mg 2.64, 4 Mn 2.68, 8 Cr 2.95
Mn 0.1412 0.3588 0.0000  6 Cr 2.42-2.43, 2 Mn 2.64, 2 Mg 2.68
Mn 0.3588 0.8588 0.0000  6 Cr 2.42-2.43, 2 Mn 2.64, 2 Mg 2.68
Mn 0.6412 0.1412 0.0000  6 Cr 2.42-2.43, 2 Mn 2.64, 2 Mg 2.68
Mn 0.8588 0.6412 0.0000  6 Cr 2.42-2.43, 2 Mn 2.64, 2 Mg 2.68
Cr 0.1520 0.6520 0.5000  6 Mn 2.42-2.43, 2 Cr 2.64
Cr 0.3480 0.1520 0.5000  6 Mn 2.42-2.43, 2 Cr 2.64
Cr 0.6520 0.8480 0.5000  6 Mn 2.42-2.43, 2 Cr 2.64
Cr 0.8480 0.3480 0.5000  6 Mn 2.42-2.43, 2 Cr 2.64

E_tot ... -75.47 eV for the cell shown
Symmetry ... P4/mbm
Polymorph energy (0 for the lowest one) ... 46 meV per atom
N(E_F) ... 0.97 states/eV/atom
Energy relative to the elements ... 0.289 eV per atom

Zr2SnHOs | PBE-GGA | optimized geometry

Cell: 4.4334 4.4334 4.0756 Å, 90.00 90.00 90.00°
With the nearest neighbours (Å) after each atom.
Element x y z (fractional)
Zr 0.0000 0.5000 0.0000  2 H 2.22
Zr 0.5000 0.0000 0.0000  2 H 2.22
Sn 0.0000 0.0000 0.5000  8 Zr 3.01, 4 Os 3.13
H 0.5000 0.5000 0.0000  2 Os 2.04, 4 Zr 2.22
Os 0.5000 0.5000 0.5000  2 H 2.04

E_tot ... -37.19 eV for the cell shown
Symmetry ... P4/mmm
N(E_F) ... 0.75 states/eV/atom

Sc2OsPb | PBE-GGA | optimized geometry

Cell: 4.7658 4.7658 4.7658 Å, 60.00 60.00 60.00°
With the nearest neighbours (Å) after each atom.
Element x y z (fractional)
Sc 0.0000 0.0000 0.0000  4 Pb 2.92, 4 Sc 2.92
Sc 0.2500 0.2500 0.2500  4 Os 2.92, 4 Sc 2.92
Os 0.5000 0.5000 0.5000  4 Pb 2.92, 4 Sc 2.92
Pb 0.7500 0.7500 0.7500  4 Sc 2.92, 4 Os 2.92

E_tot ... -28.07 eV for the cell shown
Symmetry ... F-43m
N(E_F) ... 0.12 states/eV/atom
Energy relative to the elements ... -0.116 eV per atom

KErO2 | PBE-GGA | optimized geometry

Cell: 6.5573 6.5573 6.5573 Å, 30.46 30.46 30.46°
With the nearest neighbours (Å) after each atom.
Element x y z (fractional)
K 0.0000 0.0000 0.0000  6 O 2.80
Er 0.5000 0.5000 0.5000  6 O 2.30
O 0.2280 0.2280 0.2280  3 Er 2.30
O 0.7720 0.7720 0.7720  3 Er 2.30

E_tot ... -26.77 eV for the cell shown
Symmetry ... R-3m
Energy relative to the elements, uncorrected ... -2.799 eV per atom
N(E_F) ... 0.00 states/eV/atom

Sm2InTe6Pb3 | PBE-GGA | optimized geometry

Cell: 10.2525 10.2525 9.3458 Å, 103.22 103.22 25.59°
With the nearest neighbours (Å) after each atom.
Element x y z (fractional)
Sm 0.1686 0.1686 0.3471  6 Te 3.13-3.21
Sm 0.8314 0.8314 0.6529  6 Te 3.13-3.21
In 0.5000 0.5000 0.0000  6 Te 3.28-3.37
Te 0.0078 0.0078 0.2567  1 Sm 3.13, 3 Pb 3.24-3.25, 2 In 3.28
Te 0.3271 0.3271 0.8934  2 Sm 3.21, 3 Pb 3.28-3.29, 1 In 3.37
Te 0.3309 0.3309 0.4118  3 Sm 3.16-3.20, 3 Pb 3.29-3.36
Te 0.6691 0.6691 0.5882  3 Sm 3.16-3.20, 3 Pb 3.29-3.36
Te 0.6729 0.6729 0.1066  2 Sm 3.21, 3 Pb 3.28-3.29, 1 In 3.37
Te 0.9922 0.9922 0.7433  1 Sm 3.13, 3 Pb 3.24-3.25, 2 In 3.28
Pb 0.1590 0.1590 0.8477  6 Te 3.25-3.36
Pb 0.5000 0.5000 0.5000  6 Te 3.24-3.29
Pb 0.8410 0.8410 0.1523  6 Te 3.25-3.36

E_tot ... -50.66 eV for the cell shown
Symmetry ... C2/m
Energy relative to the elements, uncorrected ... -0.709 eV per atom
N(E_F) ... 0.39 states/eV/atom

Rb4Tl5Pt | PBE-GGA | optimized geometry

Cell: 8.5752 8.5752 8.5752 Å, 98.98 98.98 133.45°
With the nearest neighbours (Å) after each atom.
Element x y z (fractional)
Rb 0.0000 0.2932 0.2932  1 Pt 3.54, 3 Tl 3.56-3.89
Rb 0.0000 0.7068 0.7068  1 Pt 3.54, 3 Tl 3.56-3.89
Rb 0.2932 0.0000 0.2932  1 Pt 3.54, 3 Tl 3.56-3.89
Rb 0.7068 0.0000 0.7068  1 Pt 3.54, 3 Tl 3.56-3.89
Tl 0.2100 0.2100 0.0000  1 Pt 2.78
Tl 0.3910 0.3910 0.7041  1 Pt 2.92, 1 Tl 3.22
Tl 0.3910 0.6868 0.0000  1 Pt 2.92, 1 Tl 3.22
Tl 0.6868 0.3910 0.0000  1 Pt 2.92, 1 Tl 3.22
Tl 0.6868 0.6868 0.2959  1 Pt 2.92, 1 Tl 3.22
Pt 0.7996 0.7996 0.0000  5 Tl 2.78-2.92

E_tot ... -22.77 eV for the cell shown
Symmetry ... I4mm
N(E_F) ... 0.32 states/eV/atom
Energy relative to the elements ... -0.103 eV per atom

Ge6IrRu | PBE-GGA | optimized geometry

Cell: 4.3673 6.3144 6.4317 Å, 99.88 109.41 108.85°
With the nearest neighbours (Å) after each atom.
Element x y z (fractional)
Ge 0.1161 0.2578 0.2554  1 Ru 2.47, 1 Ir 2.50, 2 Ge 2.62-2.63
Ge 0.3200 0.4318 0.7528  2 Ru 2.51-2.71, 1 Ir 2.56, 1 Ge 2.63
Ge 0.3688 0.9341 0.2427  2 Ir 2.55-2.73, 1 Ru 2.56, 1 Ge 2.62
Ge 0.6312 0.0659 0.7573  2 Ir 2.55-2.73, 1 Ru 2.56, 1 Ge 2.62
Ge 0.6800 0.5682 0.2472  2 Ru 2.51-2.71, 1 Ir 2.56, 1 Ge 2.63
Ge 0.8839 0.7422 0.7446  1 Ru 2.47, 1 Ir 2.50, 2 Ge 2.62-2.63
Ir 0.0000 0.0000 0.5000  8 Ge 2.50-2.73
Ru 0.0000 0.5000 0.0000  8 Ge 2.47-2.71

E_tot ... -45.85 eV for the cell shown
Symmetry ... P-1
N(E_F) ... 0.48 states/eV/atom
Energy relative to the elements ... -0.001 eV per atom

Pm2HgAu | PBE-GGA | optimized geometry

Cell: 3.7511 3.7511 7.5068 Å, 90.00 90.00 90.00°
With the nearest neighbours (Å) after each atom.
Element x y z (fractional)
Pm 0.0000 0.0000 0.2387  4 Au 3.20, 4 Hg 3.30, 1 Pm 3.58
Pm 0.0000 0.0000 0.7613  4 Au 3.20, 4 Hg 3.30, 1 Pm 3.58
Hg 0.5000 0.5000 0.5000  8 Pm 3.30
Au 0.5000 0.5000 0.0000  8 Pm 3.20

E_tot ... -15.59 eV for the cell shown
Symmetry ... P4/mmm
Polymorph energy (0 for the lowest one) ... 0 meV per atom
N(E_F) ... 0.85 states/eV/atom
Energy relative to the elements ... -0.628 eV per atom

Ho2TmI | PBE-GGA | optimized geometry

Cell: 10.5968 10.5968 10.5968 Å, 20.18 20.18 20.18°
With the nearest neighbours (Å) after each atom.
Element x y z (fractional)
Ho 0.2463 0.2463 0.2463  3 I 3.28, 3 Tm 3.46
Ho 0.7537 0.7537 0.7537  3 I 3.28, 3 Tm 3.46
Tm 0.0000 0.0000 0.0000  6 Ho 3.46, 6 Tm 3.71
I 0.5000 0.5000 0.5000  6 Ho 3.28

E_tot ... -16.47 eV for the cell shown
Symmetry ... R-3m
Polymorph energy (0 for the lowest one) ... 10 meV per atom
Energy relative to the elements, uncorrected ... -0.323 eV per atom
N(E_F) ... 1.18 states/eV/atom

BaIn | PBE-GGA | optimized geometry

Cell: 6.5612 6.5612 6.5612 Å, 132.59 132.59 69.30°
With the nearest neighbours (Å) after each atom.
Element x y z (fractional)
Ba 0.3750 0.6250 0.7500  8 In 3.73-3.77, 4 Ba 3.77
Ba 0.6250 0.3750 0.2500  8 In 3.73-3.77, 4 Ba 3.77
In 0.1250 0.8750 0.2500  8 Ba 3.73-3.77, 4 In 3.77
In 0.8750 0.1250 0.7500  8 Ba 3.73-3.77, 4 In 3.77

E_tot ... -10.35 eV for the cell shown
Symmetry ... I4_1/amd
N(E_F) ... 0.97 states/eV/atom
Energy relative to the elements ... -0.258 eV per atom

La2GeSe | PBE-GGA | optimized geometry

Cell: 4.3936 6.1739 8.8043 Å, 90.00 90.00 90.00°
With the nearest neighbours (Å) after each atom.
Element x y z (fractional)
La 0.2500 0.2500 0.1205  4 Ge 3.09-3.12, 2 Se 3.16
La 0.2500 0.2500 0.6312  2 Ge 3.04, 4 Se 3.09-3.13
La 0.7500 0.7500 0.3688  2 Ge 3.04, 4 Se 3.09-3.13
La 0.7500 0.7500 0.8795  4 Ge 3.09-3.12, 2 Se 3.16
Ge 0.2500 0.7500 0.1308  6 La 3.04-3.12
Ge 0.7500 0.2500 0.8692  6 La 3.04-3.12
Se 0.2500 0.7500 0.6222  6 La 3.09-3.16
Se 0.7500 0.2500 0.3778  6 La 3.09-3.16

E_tot ... -47.55 eV for the cell shown
Symmetry ... Pmmn
Polymorph energy (0 for the lowest one) ... 9 meV per atom
Energy relative to the elements, uncorrected ... -1.454 eV per atom
N(E_F) ... 0.34 states/eV/atom

BaTl3Te | PBE-GGA | optimized geometry

Cell: 6.4295 6.4295 6.4295 Å, 90.00 90.00 90.00°
With the nearest neighbours (Å) after each atom.
Element x y z (fractional)
Ba 0.0000 0.0000 0.0000  6 Tl 3.21
Tl 0.0000 0.0000 0.5000  2 Ba 3.21
Tl 0.0000 0.5000 0.0000  2 Ba 3.21
Tl 0.5000 0.0000 0.0000  2 Ba 3.21
Te 0.5000 0.5000 0.5000  12 Tl 4.55

E_tot ... -9.46 eV for the cell shown
Symmetry ... Pm-3m
Polymorph energy (0 for the lowest one) ... 499 meV per atom
Energy relative to the elements, uncorrected ... 0.540 eV per atom
N(E_F) ... 1.03 states/eV/atom

TlSn2S | PBE-GGA | optimized geometry

Cell: 5.2239 5.2239 5.2239 Å, 60.00 60.00 60.00°
With the nearest neighbours (Å) after each atom.
Element x y z (fractional)
Tl 0.0000 0.0000 0.0000  8 Sn 3.20
Sn 0.2500 0.2500 0.2500  4 S 3.20, 4 Tl 3.20
Sn 0.7500 0.7500 0.7500  4 S 3.20, 4 Tl 3.20
S 0.5000 0.5000 0.5000  8 Sn 3.20

E_tot ... -13.91 eV for the cell shown
Symmetry ... Fm-3m
Polymorph energy (0 for the lowest one) ... 170 meV per atom
Energy relative to the elements, uncorrected ... 0.147 eV per atom
N(E_F) ... 0.51 states/eV/atom

ZrNi2Pb | PBE-GGA | optimized geometry

Cell: 9.1720 9.1720 9.1720 Å, 153.50 153.50 37.82°
With the nearest neighbours (Å) after each atom.
Element x y z (fractional)
Zr 0.0000 0.0000 0.0000  4 Ni 2.60
Zr 0.7500 0.2500 0.5000  4 Ni 2.60
Ni 0.1057 0.6250 0.9807  2 Zr 2.60, 2 Pb 2.66, 2 Ni 2.86
Ni 0.3750 0.3557 0.4807  2 Zr 2.60, 2 Pb 2.66, 2 Ni 2.86
Ni 0.6443 0.1250 0.0193  2 Zr 2.60, 2 Pb 2.66, 2 Ni 2.86
Ni 0.8750 0.8943 0.5193  2 Zr 2.60, 2 Pb 2.66, 2 Ni 2.86
Pb 0.2500 0.7500 0.5000  4 Ni 2.66, 4 Zr 2.97
Pb 0.5000 0.5000 0.0000  4 Ni 2.66, 4 Zr 2.97

E_tot ... -45.33 eV for the cell shown
Symmetry ... I-42d
N(E_F) ... 0.91 states/eV/atom
Energy relative to the elements ... 0.289 eV per atom

InPdAu2 | PBE-GGA | optimized geometry

Cell: 4.1079 4.1079 4.2602 Å, 90.00 90.00 90.00°
With the nearest neighbours (Å) after each atom.
Element x y z (fractional)
In 0.0000 0.0000 0.0000  4 Pd 2.90, 8 Au 2.96
Pd 0.5000 0.5000 0.0000  4 In 2.90, 8 Au 2.96
Au 0.0000 0.5000 0.5000  4 Au 2.90, 4 In 2.96, 4 Pd 2.96
Au 0.5000 0.0000 0.5000  4 Au 2.90, 4 In 2.96, 4 Pd 2.96

E_tot ... -15.57 eV for the cell shown
Symmetry ... P4/mmm
N(E_F) ... 0.46 states/eV/atom
Energy relative to the elements ... -0.271 eV per atom

Pm4Dy3Er4 | PBE-GGA | optimized geometry

Cell: 3.5105 5.6419 18.1192 Å, 98.94 95.55 90.01°
With the nearest neighbours (Å) after each atom.
Element x y z (fractional)
Pm 0.0904 0.0903 0.1809  3 Er 3.21-3.25, 2 Pm 3.51
Pm 0.2327 0.7323 0.4648  4 Er 3.37-3.56, 6 Pm 3.51-3.55
Pm 0.7673 0.2677 0.5352  4 Er 3.37-3.56, 6 Pm 3.51-3.55
Pm 0.9096 0.9097 0.8191  3 Er 3.21-3.25, 2 Pm 3.51
Dy 0.3647 0.3645 0.7286  2 Dy 3.51, 6 Er 3.67-3.69, 6 Pm 3.69-3.87
Dy 0.5000 0.0000 0.0000  2 Dy 3.51, 4 Pm 3.67, 8 Er 3.69
Dy 0.6353 0.6355 0.2714  2 Dy 3.51, 6 Er 3.67-3.69, 6 Pm 3.69-3.87
Er 0.0450 0.5452 0.0906  3 Er 3.23-3.51, 2 Pm 3.25
Er 0.1801 0.1804 0.3610  5 Pm 3.21-3.56, 2 Er 3.51
Er 0.8199 0.8196 0.6390  5 Pm 3.21-3.56, 2 Er 3.51
Er 0.9550 0.4548 0.9094  3 Er 3.23-3.51, 2 Pm 3.25

E_tot ... -50.35 eV for the cell shown
Symmetry ... P-1
Polymorph energy (0 for the lowest one) ... 0 meV per atom
N(E_F) ... 1.69 states/eV/atom
Energy relative to the elements ... 0.064 eV per atom

Ta2TcAs | PBE-GGA | optimized geometry

Cell: 3.3165 3.3165 5.9988 Å, 90.00 90.00 90.00°
With the nearest neighbours (Å) after each atom.
Element x y z (fractional)
Ta 0.0000 0.0000 0.2453  4 As 2.77, 4 Tc 2.80, 2 Ta 2.94-3.06
Ta 0.0000 0.0000 0.7547  4 As 2.77, 4 Tc 2.80, 2 Ta 2.94-3.06
Tc 0.5000 0.5000 0.5000  8 Ta 2.80, 2 As 3.00
As 0.5000 0.5000 0.0000  8 Ta 2.77, 2 Tc 3.00

E_tot ... -39.36 eV for the cell shown
Symmetry ... P4/mmm
N(E_F) ... 0.56 states/eV/atom
Energy relative to the elements ... -0.161 eV per atom

CuRe2HgO8 | PBE-GGA | optimized geometry

Cell: 7.0702 7.0702 7.8966 Å, 116.17 116.17 47.01°
With the nearest neighbours (Å) after each atom.
Element x y z (fractional)
Cu 0.0000 0.0000 0.0000  4 O 1.94
Re 0.3131 0.3131 0.8389  4 O 1.73-1.78
Re 0.6869 0.6869 0.1611  4 O 1.73-1.78
Hg 0.5000 0.5000 0.5000  6 O 3.28-3.45
O 0.1342 0.6495 0.8359  1 Re 1.78, 1 Cu 1.94
O 0.1754 0.1754 0.6365  1 Re 1.73
O 0.2972 0.2972 0.0449  1 Re 1.74
O 0.3505 0.8658 0.1641  1 Re 1.78, 1 Cu 1.94
O 0.6495 0.1342 0.8359  1 Re 1.78, 1 Cu 1.94
O 0.7028 0.7028 0.9551  1 Re 1.74
O 0.8246 0.8246 0.3635  1 Re 1.73
O 0.8658 0.3505 0.1641  1 Re 1.78, 1 Cu 1.94

E_tot ... -83.69 eV for the cell shown
Symmetry ... C2/m
Energy relative to the elements, uncorrected ... -1.227 eV per atom
N(E_F) ... 0.51 states/eV/atom